# CaLa2Ir2

A relaxed structure of CaLa2Ir2 (PBEsol, the Alexandria database).

CIF file:
```
data_CaLa2Ir2
_space_group_name_H-M_alt 'P 1'
_space_group_IT_number 1
_space_group_name_Hall 'P 1'
_cell_length_a 3.8942
_cell_length_b 7.8816
_cell_length_c 7.8816
_cell_angle_alpha 90.00
_cell_angle_beta 90.00
_cell_angle_gamma 90.00
loop_
_atom_site_label
_atom_site_type_symbol
_atom_site_fract_x
_atom_site_fract_y
_atom_site_fract_z
La1 La 0.5000 0.1571 0.6571
Ir1 Ir 0.0000 0.8614 0.6386
Ca1 Ca 0.0000 0.0000 0.0000
La2 La 0.5000 0.3429 0.1571
La3 La 0.5000 0.6571 0.8429
Ca2 Ca 0.0000 0.5000 0.5000
Ir2 Ir 0.0000 0.6386 0.1386
La4 La 0.5000 0.8429 0.3429
Ir3 Ir 0.0000 0.3614 0.8614
Ir4 Ir 0.0000 0.1386 0.3614
```

Summary:
energy relative to the elements = -0.51 eV/atom
V = 242 Å³ per cell
crystal system = tetragonal

***

# Ca2LaIr

A relaxed structure of Ca2LaIr (PBEsol, the Alexandria database).

CIF file:
```
data_Ca2LaIr
_space_group_name_H-M_alt 'P 1'
_space_group_IT_number 1
_space_group_name_Hall 'P 1'
_cell_length_a 3.7987
_cell_length_b 4.2493
_cell_length_c 8.2064
_cell_angle_alpha 105.00
_cell_angle_beta 90.00
_cell_angle_gamma 90.00
loop_
_atom_site_label
_atom_site_type_symbol
_atom_site_fract_x
_atom_site_fract_y
_atom_site_fract_z
Ca1 Ca 0.5000 0.4144 0.8288
La1 La 0.5000 0.7393 0.4785
Ca2 Ca 0.0000 0.0845 0.1690
Ir1 Ir 0.0000 0.2676 0.5352
```

Summary:
energy relative to the elements = -0.31 eV/atom
V = 128 Å³ per cell
crystal system = orthorhombic

***

# CaLa2Ir

A relaxed structure of CaLa2Ir (PBEsol, the Alexandria database).

CIF file:
```
data_CaLa2Ir
_space_group_name_H-M_alt 'P 1'
_space_group_IT_number 1
_space_group_name_Hall 'P 1'
_cell_length_a 3.8229
_cell_length_b 4.3514
_cell_length_c 8.0867
_cell_angle_alpha 105.61
_cell_angle_beta 90.00
_cell_angle_gamma 90.00
loop_
_atom_site_label
_atom_site_type_symbol
_atom_site_fract_x
_atom_site_fract_y
_atom_site_fract_z
Ir1 Ir 0.5000 0.6324 0.2648
Ca1 Ca 0.0000 0.7911 0.5822
La1 La 0.0000 0.1129 0.2258
La2 La 0.5000 0.4561 0.9122
```

Summary:
energy relative to the elements = -0.26 eV/atom
V = 130 Å³ per cell
distance to the lowest polymorph of the same formula = 113 meV/atom
crystal system = orthorhombic

***

# CaLaIr

A relaxed structure of CaLaIr (PBEsol, the Alexandria database).

CIF file:
```
data_CaLaIr
_space_group_name_H-M_alt 'P 1'
_space_group_IT_number 1
_space_group_name_Hall 'P 1'
_cell_length_a 3.4973
_cell_length_b 3.4973
_cell_length_c 7.1769
_cell_angle_alpha 104.10
_cell_angle_beta 104.10
_cell_angle_gamma 90.00
loop_
_atom_site_label
_atom_site_type_symbol
_atom_site_fract_x
_atom_site_fract_y
_atom_site_fract_z
Ca1 Ca 0.0402 0.0402 0.0803
La1 La 0.2870 0.2870 0.5739
Ir1 Ir 0.6729 0.6729 0.3458
```

Summary:
energy relative to the elements = -0.37 eV/atom
V = 82 Å³ per cell
distance to the lowest polymorph of the same formula = 39 meV/atom
crystal system = tetragonal

***

# Ca3LaMn2Ir2O12

A relaxed structure of Ca3LaMn2Ir2O12 (PBEsol, the Alexandria database).

CIF file:
```
data_Ca3LaMn2Ir2O12
_space_group_name_H-M_alt 'P 1'
_space_group_IT_number 1
_space_group_name_Hall 'P 1'
_cell_length_a 5.3215
_cell_length_b 5.4836
_cell_length_c 7.6032
_cell_angle_alpha 90.01
_cell_angle_beta 89.94
_cell_angle_gamma 90.14
loop_
_atom_site_label
_atom_site_type_symbol
_atom_site_fract_x
_atom_site_fract_y
_atom_site_fract_z
Ir1 Ir 0.4986 0.0011 0.0046
O1 O 0.6965 0.2886 0.5487
Mn1 Mn 0.4999 0.0003 0.4932
Mn2 Mn 0.9994 0.5013 0.0059
O2 O 0.1897 0.2095 0.0482
O3 O 0.7990 0.7844 0.9580
O4 O 0.2912 0.6973 0.0474
O5 O 0.2028 0.1925 0.4572
La1 La 0.9911 0.0468 0.7510
O6 O 0.0906 0.4878 0.7560
O7 O 0.9043 0.5244 0.2433
O8 O 0.4264 0.9741 0.7432
Ca1 Ca 0.0137 0.9423 0.2508
O9 O 0.7916 0.8006 0.5376
Ir2 Ir 0.0007 0.5002 0.4961
Ca2 Ca 0.5152 0.5546 0.7496
O10 O 0.3056 0.7126 0.4495
O11 O 0.5934 0.0318 0.2569
Ca3 Ca 0.4837 0.4469 0.2496
O12 O 0.7066 0.3029 0.9531
```

Summary:
V = 222 Å³ per cell
formation energy without anion corrections = -4046 kJ/mol of formula units
crystal system = triclinic

***

# CaLaIrW2

A relaxed structure of CaLaIrW2 (PBEsol, the Alexandria database).

CIF file:
```
data_CaLaIrW2
_space_group_name_H-M_alt 'P 1'
_space_group_IT_number 1
_space_group_name_Hall 'P 1'
_cell_length_a 4.6865
_cell_length_b 4.6865
_cell_length_c 4.9361
_cell_angle_alpha 90.00
_cell_angle_beta 90.00
_cell_angle_gamma 90.00
loop_
_atom_site_label
_atom_site_type_symbol
_atom_site_fract_x
_atom_site_fract_y
_atom_site_fract_z
Ca1 Ca 0.0000 0.0000 0.0000
W1 W 0.0000 0.5000 0.0000
W2 W 0.5000 0.0000 0.0000
La1 La 0.5000 0.5000 0.5000
Ir1 Ir 0.0000 0.0000 0.5000
```

Summary:
energy relative to the elements = 2.21 eV/atom
V = 108 Å³ per cell
crystal system = tetragonal

***

# LiCaIr

A relaxed structure of LiCaIr (PBEsol, the Alexandria database).

CIF file:
```
data_LiCaIr
_space_group_name_H-M_alt 'P 1'
_space_group_IT_number 1
_space_group_name_Hall 'P 1'
_cell_length_a 3.0134
_cell_length_b 4.4907
_cell_length_c 4.4907
_cell_angle_alpha 120.00
_cell_angle_beta 90.00
_cell_angle_gamma 90.00
loop_
_atom_site_label
_atom_site_type_symbol
_atom_site_fract_x
_atom_site_fract_y
_atom_site_fract_z
Ca1 Ca 0.0001 0.0000 0.0000
Li1 Li 0.4979 0.6667 0.3333
Ir1 Ir 0.5019 0.3333 0.6667
```

Summary:
energy relative to the elements = -0.05 eV/atom
V = 53 Å³ per cell
distance to the lowest polymorph of the same formula = 0 meV/atom
crystal system = trigonal

***

# LiCaIr

A relaxed structure of LiCaIr (PBEsol, the Alexandria database).

CIF file:
```
data_LiCaIr
_space_group_name_H-M_alt 'P 1'
_space_group_IT_number 1
_space_group_name_Hall 'P 1'
_cell_length_a 4.4969
_cell_length_b 4.4969
_cell_length_c 4.4969
_cell_angle_alpha 60.00
_cell_angle_beta 60.00
_cell_angle_gamma 60.00
loop_
_atom_site_label
_atom_site_type_symbol
_atom_site_fract_x
_atom_site_fract_y
_atom_site_fract_z
Ir1 Ir 0.0000 0.0000 0.0000
Li1 Li 0.5000 0.5000 0.5000
Ca1 Ca 0.7500 0.7500 0.7500
```

Summary:
energy relative to the elements = 0.62 eV/atom
V = 64 Å³ per cell
distance to the lowest polymorph of the same formula = 673 meV/atom
crystal system = cubic

***

# LiCaIr

A relaxed structure of LiCaIr (PBEsol, the Alexandria database).

CIF file:
```
data_LiCaIr
_space_group_name_H-M_alt 'P 1'
_space_group_IT_number 1
_space_group_name_Hall 'P 1'
_cell_length_a 3.0415
_cell_length_b 3.0415
_cell_length_c 7.1481
_cell_angle_alpha 90.00
_cell_angle_beta 90.00
_cell_angle_gamma 120.00
loop_
_atom_site_label
_atom_site_type_symbol
_atom_site_fract_x
_atom_site_fract_y
_atom_site_fract_z
Li1 Li 0.6667 0.3333 0.3869
Ca1 Ca 0.0000 0.0000 0.9561
Ir1 Ir 0.3333 0.6667 0.6569
```

Summary:
energy relative to the elements = 0.25 eV/atom
V = 57 Å³ per cell
distance to the lowest polymorph of the same formula = 300 meV/atom
crystal system = trigonal

***

# Li2CaIr

A relaxed structure of Li2CaIr (PBEsol, the Alexandria database).

CIF file:
```
data_Li2CaIr
_space_group_name_H-M_alt 'P 1'
_space_group_IT_number 1
_space_group_name_Hall 'P 1'
_cell_length_a 4.3088
_cell_length_b 4.3088
_cell_length_c 5.2104
_cell_angle_alpha 65.58
_cell_angle_beta 65.58
_cell_angle_gamma 60.00
loop_
_atom_site_label
_atom_site_type_symbol
_atom_site_fract_x
_atom_site_fract_y
_atom_site_fract_z
Ca1 Ca 0.4950 0.4950 0.5151
Li1 Li 0.2937 0.2937 0.1190
Li2 Li 0.0086 0.0086 0.9742
Ir1 Ir 0.7080 0.7080 0.8761
```

Summary:
energy relative to the elements = -0.01 eV/atom
V = 74 Å³ per cell
distance to the lowest polymorph of the same formula = 0 meV/atom
crystal system = trigonal

***

# Li2CaIr

A relaxed structure of Li2CaIr (PBEsol, the Alexandria database).

CIF file:
```
data_Li2CaIr
_space_group_name_H-M_alt 'P 1'
_space_group_IT_number 1
_space_group_name_Hall 'P 1'
_cell_length_a 3.1700
_cell_length_b 4.1672
_cell_length_c 6.0224
_cell_angle_alpha 90.00
_cell_angle_beta 105.15
_cell_angle_gamma 90.00
loop_
_atom_site_label
_atom_site_type_symbol
_atom_site_fract_x
_atom_site_fract_y
_atom_site_fract_z
Li1 Li 0.7563 0.5000 0.1396
Ca1 Ca 0.4756 0.0000 0.5729
Ir1 Ir 0.0784 0.5000 0.7800
Li2 Li 0.1898 0.0000 0.0075
```

Summary:
energy relative to the elements = 0.03 eV/atom
V = 77 Å³ per cell
distance to the lowest polymorph of the same formula = 39 meV/atom
crystal system = monoclinic

***

# LiCa3Ir

A relaxed structure of LiCa3Ir (PBEsol, the Alexandria database).

CIF file:
```
data_LiCa3Ir
_space_group_name_H-M_alt 'P 1'
_space_group_IT_number 1
_space_group_name_Hall 'P 1'
_cell_length_a 5.0759
_cell_length_b 5.0759
_cell_length_c 5.0759
_cell_angle_alpha 90.00
_cell_angle_beta 90.00
_cell_angle_gamma 90.00
loop_
_atom_site_label
_atom_site_type_symbol
_atom_site_fract_x
_atom_site_fract_y
_atom_site_fract_z
Ca1 Ca 0.0000 0.5000 0.0000
Ca2 Ca 0.0000 0.0000 0.5000
Ca3 Ca 0.5000 0.0000 0.0000
Ir1 Ir 0.5000 0.5000 0.5000
Li1 Li 0.0000 0.0000 0.0000
```

Summary:
energy relative to the elements = 0.81 eV/atom
V = 131 Å³ per cell
crystal system = cubic

***

# Li2CaIrO

A relaxed structure of Li2CaIrO (PBEsol, the Alexandria database).

CIF file:
```
data_Li2CaIrO
_space_group_name_H-M_alt 'P 1'
_space_group_IT_number 1
_space_group_name_Hall 'P 1'
_cell_length_a 4.0241
_cell_length_b 4.0241
_cell_length_c 4.3589
_cell_angle_alpha 90.00
_cell_angle_beta 90.00
_cell_angle_gamma 90.00
loop_
_atom_site_label
_atom_site_type_symbol
_atom_site_fract_x
_atom_site_fract_y
_atom_site_fract_z
Li1 Li 0.0000 0.5000 0.0000
Ir1 Ir 0.0000 0.0000 0.5000
Li2 Li 0.5000 0.0000 0.0000
O1 O 0.0000 0.0000 0.0000
Ca1 Ca 0.5000 0.5000 0.5000
```

Summary:
V = 71 Å³ per cell
formation energy without anion corrections = -243 kJ/mol of formula units
crystal system = tetragonal

***

# Li2CaIrPt

A relaxed structure of Li2CaIrPt (PBEsol, the Alexandria database).

CIF file:
```
data_Li2CaIrPt
_space_group_name_H-M_alt 'P 1'
_space_group_IT_number 1
_space_group_name_Hall 'P 1'
_cell_length_a 4.2136
_cell_length_b 4.2136
_cell_length_c 4.7056
_cell_angle_alpha 90.00
_cell_angle_beta 90.00
_cell_angle_gamma 90.00
loop_
_atom_site_label
_atom_site_type_symbol
_atom_site_fract_x
_atom_site_fract_y
_atom_site_fract_z
Li1 Li 0.5000 0.0000 0.0000
Pt1 Pt 0.0000 0.0000 0.5000
Li2 Li 0.0000 0.5000 0.0000
Ca1 Ca 0.0000 0.0000 0.0000
Ir1 Ir 0.5000 0.5000 0.5000
```

Summary:
energy relative to the elements = 1.18 eV/atom
V = 84 Å³ per cell
crystal system = tetragonal